[1]
DFT (PBE) results for a relaxed structure of Ac2InH2. Values from VASP.

The structure in Quantum ESPRESSO input format:
```
&SYSTEM
  ibrav = 0, nat = 5, ntyp = 3
/
ATOMIC_SPECIES
Ac 227.00 Ac.upf
In 114.82 In.upf
H 1.01 H.upf
CELL_PARAMETERS angstrom
-2.092 2.092 6.866
2.092 -2.092 6.866
2.092 2.092 -6.866
ATOMIC_POSITIONS angstrom
Ac 0.000 0.000 2.017
Ac 0.000 0.000 11.714
In 0.000 0.000 6.866
H 2.092 0.000 3.433
H 0.000 2.092 3.433
```

Properties
- VASP energy: -4.059 eV/atom
- Space-group type: I4/mmm (139)



[2]
DFT (PBE) results for a relaxed structure of HoIn2Br5. Values from VASP.

The structure in Quantum ESPRESSO input format:
```
&SYSTEM
  ibrav = 0, nat = 32, ntyp = 3
/
ATOMIC_SPECIES
Ho 164.93 Ho.upf
In 114.82 In.upf
Br 79.90 Br.upf
CELL_PARAMETERS angstrom
13.196 0.000 0.000
0.000 8.881 0.000
0.000 0.000 9.020
ATOMIC_POSITIONS angstrom
Ho 0.088 2.220 0.682
Ho 6.510 6.661 5.192
Ho 6.686 2.220 3.828
Ho 13.108 6.661 8.338
In 2.201 0.102 5.497
In 2.201 4.339 5.497
In 4.397 4.542 0.987
In 4.397 8.779 0.987
In 8.799 0.102 8.034
In 8.799 4.339 8.034
In 10.995 4.542 3.523
In 10.995 8.779 3.523
Br 0.042 2.220 3.648
Br 0.727 4.897 1.522
Br 0.727 8.425 1.522
Br 2.629 2.220 8.464
Br 2.668 6.661 7.800
Br 3.930 2.220 3.289
Br 3.969 6.661 3.954
Br 5.871 0.456 6.033
Br 5.871 3.984 6.033
Br 6.556 6.661 8.158
Br 6.640 2.220 0.862
Br 7.325 4.897 2.988
Br 7.325 8.425 2.988
Br 9.227 2.220 5.066
Br 9.266 6.661 5.731
Br 10.528 2.220 1.221
Br 10.567 6.661 0.556
Br 12.469 0.456 7.498
Br 12.469 3.984 7.498
Br 13.154 6.661 5.372
```

Properties
- VASP energy: -3.568 eV/atom
- Space-group type: Pnma (62)



[3]
DFT (PBE) results for a relaxed structure of Cs2ScBi2. Values from VASP.

The structure in Quantum ESPRESSO input format:
```
&SYSTEM
  ibrav = 0, nat = 10, ntyp = 3
/
ATOMIC_SPECIES
Cs 132.91 Cs.upf
Sc 44.96 Sc.upf
Bi 208.98 Bi.upf
CELL_PARAMETERS angstrom
7.982 0.000 0.000
0.000 7.982 0.000
0.000 0.000 6.643
ATOMIC_POSITIONS angstrom
Cs 1.351 2.640 0.000
Cs 2.640 6.631 0.000
Cs 5.342 1.351 0.000
Cs 6.631 5.342 0.000
Sc 0.000 0.000 3.321
Sc 3.991 3.991 3.321
Bi 1.118 5.109 3.321
Bi 2.874 1.118 3.321
Bi 5.109 6.865 3.321
Bi 6.865 2.874 3.321
```

Properties
- VASP energy: -3.411 eV/atom
- Space-group type: P4/mbm (127)



[4]
DFT (PBE) results for a relaxed structure of KSe2Cl. Values from VASP.

The structure in Quantum ESPRESSO input format:
```
&SYSTEM
  ibrav = 0, nat = 4, ntyp = 3
/
ATOMIC_SPECIES
K 39.10 K.upf
Se 78.96 Se.upf
Cl 35.45 Cl.upf
CELL_PARAMETERS angstrom
3.258 0.000 0.000
0.000 3.258 0.000
0.000 0.000 9.135
ATOMIC_POSITIONS angstrom
K 0.000 0.000 0.000
Se 1.629 1.629 2.489
Se 1.629 1.629 6.646
Cl 0.000 0.000 4.568
```

Properties
- Polymorph energy (0 for the lowest one): 0.945 eV per atom
- Space-group type: P4/mmm (123)



[5]
DFT (PBE) results for a relaxed structure of Rb2VPbCl6. Values from VASP.

The structure in Quantum ESPRESSO input format:
```
&SYSTEM
  ibrav = 0, nat = 10, ntyp = 4
/
ATOMIC_SPECIES
Rb 85.47 Rb.upf
V 50.94 V.upf
Pb 207.20 Pb.upf
Cl 35.45 Cl.upf
CELL_PARAMETERS angstrom
0.000 5.335 5.335
5.335 0.000 5.335
5.335 5.335 0.000
ATOMIC_POSITIONS angstrom
Rb 2.668 2.668 2.668
Rb 8.003 8.003 8.003
V 0.000 0.000 0.000
Pb 5.335 5.335 5.335
Cl 5.335 5.335 2.486
Cl 5.335 2.486 5.335
Cl 8.185 5.335 5.335
Cl 2.486 5.335 5.335
Cl 5.335 8.185 5.335
Cl 5.335 5.335 8.185
```

Properties
- VASP energy: -4.048 eV/atom
- Space-group type: Fm-3m (225)



[6]
DFT (PBE) results for a relaxed structure of LaTbPrS3. Values from VASP.

The structure in Quantum ESPRESSO input format:
```
&SYSTEM
  ibrav = 0, nat = 12, ntyp = 4
/
ATOMIC_SPECIES
La 138.91 La.upf
Tb 158.93 Tb.upf
Pr 140.91 Pr.upf
S 32.06 S.upf
CELL_PARAMETERS angstrom
7.008 0.000 0.000
0.000 3.964 0.000
-2.291 0.000 10.395
ATOMIC_POSITIONS angstrom
La 0.603 0.991 2.051
La 4.115 2.973 8.344
Tb 0.603 2.973 5.770
Tb 4.114 0.991 4.625
Pr 0.633 0.991 9.013
Pr 4.084 2.973 1.382
S -1.181 0.991 6.796
S 1.496 2.973 0.078
S 2.339 2.973 3.630
S 2.378 0.991 6.765
S 3.221 0.991 10.317
S 5.898 2.973 3.599
```

Properties
- VASP energy: -6.423 eV/atom
- Space-group type: P2_1/m (11)



[7]
DFT (PBE) results for a relaxed structure of Tc2Mo. Values from VASP.

The structure in Quantum ESPRESSO input format:
```
&SYSTEM
  ibrav = 0, nat = 6, ntyp = 2
/
ATOMIC_SPECIES
Tc 98.00 Tc.upf
Mo 95.94 Mo.upf
CELL_PARAMETERS angstrom
0.000 3.596 3.596
3.596 0.000 3.596
3.596 3.596 0.000
ATOMIC_POSITIONS angstrom
Tc 0.000 0.000 0.000
Tc 1.798 1.798 0.000
Tc 1.798 0.000 1.798
Tc 0.000 1.798 1.798
Mo 2.697 2.697 2.697
Mo 4.495 4.495 4.495
```

Properties
- Polymorph energy (0 for the lowest one): 0.070 eV per atom
- Space-group type: Fd-3m (227)



[8]
DFT (PBE) results for a relaxed structure of ThGa2NiPt4. Values from VASP.

The structure in Quantum ESPRESSO input format:
```
&SYSTEM
  ibrav = 0, nat = 8, ntyp = 4
/
ATOMIC_SPECIES
Th 232.04 Th.upf
Ga 69.72 Ga.upf
Ni 58.69 Ni.upf
Pt 195.08 Pt.upf
CELL_PARAMETERS angstrom
2.142 1.237 8.731
-2.142 1.237 8.731
0.000 -2.474 8.731
ATOMIC_POSITIONS angstrom
Th 0.000 0.000 0.000
Ga 0.000 0.000 6.149
Ga 0.000 0.000 20.043
Ni 0.000 0.000 13.096
Pt 0.000 0.000 3.464
Pt 0.000 0.000 10.496
Pt 0.000 0.000 15.696
Pt 0.000 0.000 22.728
```

Properties
- VASP energy: -6.182 eV/atom
- Space-group type: R-3m (166)



Number 1: M_tot 0.00 μB/cell. Number 2: M_tot 0.00 μB/cell. Number 3: M_tot 1.80 μB/cell. Number 4: M_tot 0.00 μB/cell. Number 5: M_tot 3.00 μB/cell. Number 6: M_tot 0.00 μB/cell. Number 7: M_tot 0.00 μB/cell. Number 8: M_tot 0.00 μB/cell.